CsRhS | GGA-PBE | relaxed

Computed properties:
The crystal system is hexagonal. Its raw formation energy is -407 meV per atom. Its space group is P-6m2, No. 187.

Cell: 3.9967 3.9967 5.7825 Å, 90.00 90.00 120.00°
Closest atoms and distances in Å follow each position.
Element x y z (fractional)
Cs 0.0000 0.0000 0.0000  6 Rh 3.70, 6 S 3.70, 6 Cs 4.00
Rh 0.6667 0.3333 0.5000  3 S 2.31
S 0.3333 0.6667 0.5000  3 Rh 2.31



Re2NiPt | GGA-PBE | relaxed

Computed properties:
The crystal system is cubic. The value obtained for the energy of formation is 473.7 meV per atom. Its space group is Fm-3m, No. 225. For the energy above the lowest structure with this stoichiometry, the calculation gives 519 meV per atom.

Cell: 6.1329 6.1329 6.1329 Å, 90.00 90.00 90.00°
Closest atoms and distances in Å follow each position.
Element x y z (fractional)
Re 0.2500 0.2500 0.2500  4 Ni 2.66, 4 Pt 2.66
Re 0.2500 0.2500 0.7500  4 Ni 2.66, 4 Pt 2.66
Re 0.2500 0.7500 0.2500  4 Ni 2.66, 4 Pt 2.66
Re 0.2500 0.7500 0.7500  4 Ni 2.66, 4 Pt 2.66
Re 0.7500 0.2500 0.2500  4 Ni 2.66, 4 Pt 2.66
Re 0.7500 0.2500 0.7500  4 Ni 2.66, 4 Pt 2.66
Re 0.7500 0.7500 0.2500  4 Ni 2.66, 4 Pt 2.66
Re 0.7500 0.7500 0.7500  4 Ni 2.66, 4 Pt 2.66
Ni 0.0000 0.0000 0.0000  8 Re 2.66
Ni 0.0000 0.5000 0.5000  8 Re 2.66
Ni 0.5000 0.0000 0.5000  8 Re 2.66
Ni 0.5000 0.5000 0.0000  8 Re 2.66
Pt 0.0000 0.0000 0.5000  8 Re 2.66
Pt 0.0000 0.5000 0.0000  8 Re 2.66
Pt 0.5000 0.0000 0.0000  8 Re 2.66
Pt 0.5000 0.5000 0.5000  8 Re 2.66



La6HoAl | GGA-PBE | relaxed

Computed properties:
The crystal system is tetragonal. The value obtained for the energy of formation is -68.6 meV per atom. Its space group is P4/mmm, No. 123. For the energy above the lowest structure with this stoichiometry, the calculation gives 0 meV per atom.

Cell: 5.0701 5.0701 10.2912 Å, 90.00 90.00 90.00°
Closest atoms and distances in Å follow each position.
Element x y z (fractional)
La 0.0000 0.0000 0.0000  8 La 3.54, 4 Al 3.59
La 0.0000 0.0000 0.5000  4 Ho 3.59, 8 La 3.69
La 0.0000 0.5000 0.2400  2 Al 3.54, 8 La 3.54-3.69, 2 Ho 3.69
La 0.0000 0.5000 0.7600  2 Al 3.54, 8 La 3.54-3.69, 2 Ho 3.69
La 0.5000 0.0000 0.2400  2 Al 3.54, 8 La 3.54-3.69, 2 Ho 3.69
La 0.5000 0.0000 0.7600  2 Al 3.54, 8 La 3.54-3.69, 2 Ho 3.69
Ho 0.5000 0.5000 0.5000  12 La 3.59-3.69
Al 0.5000 0.5000 0.0000  12 La 3.54-3.59



no.,magnetization (μB per formula unit),raw total energy (eV per formula unit)
1,0.01,-13.6
2,0.00,-34.8
3,0.00,-38.4